(1)
Re2W after structural relaxation. Source: the Alexandria database, functional GGA-PBE.

The formation energy is 195 meV/atom. Its energy relative to the lowest polymorph listed for this composition is 76 meV per atom. As for the spin magnetization: 0.0 μB per cell.

It has space group P6_3/mmc (No. 194), with a = 5.1301 Å, b = 5.1301 Å, c = 8.3802 Å, α = 90.00°, β = 90.00° and γ = 120.00°. Symmetry generates all atoms from Re at (0.0000, 0.0000, 0.0000), Re at (0.1722, 0.3444, 0.2500) and W at (0.3333, 0.6667, 0.5678).



(2)
Re3W after structural relaxation. Source: the Alexandria database, functional GGA-PBE.

The formation energy is 99 meV/atom. Its energy relative to the lowest polymorph listed for this composition is 0 meV per atom. As for the spin magnetization: 0.0 μB per cell.

It has space group Pnma (No. 62), with a = 4.849 Å, b = 9.081 Å, c = 5.559 Å, α = 90.00°, β = 90.00° and γ = 90.00°. Symmetry generates all atoms from Re at (0.083, 0.250, 0.123), Re at (0.241, 0.507, 0.875) and W at (0.078, 0.250, 0.624).



(3)
Re3W4 after structural relaxation. Source: the Alexandria database, functional GGA-PBE.

The formation energy is 98 meV/atom. As for the spin magnetization: 0.0 μB per cell.

It has space group I4/mmm (No. 139), with a = 3.150 Å, b = 3.150 Å, c = 22.168 Å, α = 90.00°, β = 90.00° and γ = 90.00°. Symmetry generates all atoms from Re at (0.000, 0.000, 0.000), Re at (0.000, 0.000, 0.287), W at (0.000, 0.000, 0.143) and W at (0.000, 0.000, 0.428).



(4)
Re3W after structural relaxation. Source: the Alexandria database, functional GGA-PBE.

The formation energy is 214 meV/atom. Its energy relative to the lowest polymorph listed for this composition is 115 meV per atom. As for the spin magnetization: 0.0 μB per cell.

It has space group Fm-3m (No. 225), with a = 6.262 Å, b = 6.262 Å, c = 6.262 Å, α = 90.00°, β = 90.00° and γ = 90.00°. Symmetry generates all atoms from Re at (0.000, 0.000, 0.000), Re at (0.250, 0.250, 0.250) and W at (0.000, 0.000, 0.500).



Look up the spin magnetization of the fourth one. 0.0 μB per cell



Look up the spin magnetization of the first one. 0.0 μB per cell